Entry from Alexandria via LeMat-Bulk: an optimized crystal structure of KZnPt2 (PBE).

D(E_F): 2.531 states/eV/f.u.
Density: 10.25 g cm⁻³
Total magnetic moment: 0.00 μB per cell
Space-group type: No. 44
DFT formation energy: 0.02 eV/atom

Unit cell a=6.2122 b=6.2122 c=6.2122 alpha=154.11 beta=129.65 gamma=57.47
Fractional positions:
1 K 0.7511 0.2511 0.5000
2 Pt 0.0402 0.0402 0.0000
3 Pt 0.2546 0.7546 0.5000
4 Zn 0.4541 0.4541 0.0000

=====

Entry from Alexandria via LeMat-Bulk: an optimized crystal structure of KZnPt2 (PBE).

D(E_F): 1.434 states/eV/f.u.
Density: 7.79 g cm⁻³
Total magnetic moment: 0.00 μB per cell
Space-group type: No. 12
DFT formation energy: -0.18 eV/atom

Unit cell a=6.6201 b=6.6201 c=9.0715 alpha=41.26 beta=41.26 gamma=24.52
Fractional positions:
1 K 0.7500 0.7500 0.7500
2 Pt 0.9140 0.9140 0.2469
3 Pt 0.5860 0.5860 0.2531
4 Zn 0.2500 0.2500 0.2500

=====

Entry from Alexandria via LeMat-Bulk: an optimized crystal structure of KZn2Pt (PBE).

D(E_F): 1.201 states/eV/f.u.
Density: 6.96 g cm⁻³
Total magnetic moment: 0.00 μB per cell
Space-group type: No. 12
Polymorph energy (0 for the lowest one): 188 meV per atom
DFT formation energy: -0.12 eV/atom

Unit cell a=4.6322 b=4.6322 c=6.8103 alpha=83.85 beta=83.85 gamma=36.85
Fractional positions:
1 K 0.2500 0.2500 0.2500
2 Pt 0.7500 0.7500 0.7500
3 Zn 0.0207 0.0207 0.9074
4 Zn 0.4793 0.4793 0.5926

=====

Entry from Alexandria via LeMat-Bulk: an optimized crystal structure of KZn2Pt (PBE).

D(E_F): 0.963 states/eV/f.u.
Density: 6.11 g cm⁻³
Total magnetic moment: 0.00 μB per cell
Space-group type: No. 59
Polymorph energy (0 for the lowest one): 0 meV per atom
DFT formation energy: -0.31 eV/atom

Unit cell a=4.3776 b=6.4446 c=7.0361 alpha=90.00 beta=90.00 gamma=90.00
Fractional positions:
1 K 0.5000 0.9063 0.0000
2 K 0.0000 0.0937 0.5000
3 Zn 0.0000 0.5913 0.6912
4 Zn 0.5000 0.4087 0.8088
5 Zn 0.0000 0.5913 0.3088
6 Zn 0.5000 0.4087 0.1912
7 Pt 0.5000 0.6239 0.5000
8 Pt 0.0000 0.3761 0.0000

=====

Entry from Alexandria via LeMat-Bulk: an optimized crystal structure of KZnPt2 (PBE).

D(E_F): 4.021 states/eV/f.u.
Density: 11.22 g cm⁻³
Total magnetic moment: 0.00 μB per cell
Space-group type: No. 160
DFT formation energy: 0.18 eV/atom

Unit cell a=10.2565 b=10.2565 c=10.2565 alpha=16.20 beta=16.20 gamma=16.20
Fractional positions:
1 K 0.7469 0.7469 0.7469
2 Pt 0.9920 0.9920 0.9920
3 Pt 0.2478 0.2478 0.2478
4 Zn 0.5133 0.5133 0.5133

=====

Entry from Alexandria via LeMat-Bulk: an optimized crystal structure of KZnPt2 (PBE).

D(E_F): 2.205 states/eV/f.u.
Density: 9.95 g cm⁻³
Total magnetic moment: 0.00 μB per cell
Space-group type: No. 25
DFT formation energy: -0.05 eV/atom

Unit cell a=2.8225 b=3.9782 c=7.3518 alpha=90.00 beta=90.00 gamma=90.00
Fractional positions:
1 K 0.5000 0.5000 0.7620
2 Pt 0.0000 0.0000 0.0606
3 Pt 0.5000 0.5000 0.2728
4 Zn 0.0000 0.0000 0.4046

=====

Entry from Alexandria via LeMat-Bulk: an optimized crystal structure of KZnPt2 (PBE).

D(E_F): 1.503 states/eV/f.u.
Density: 11.36 g cm⁻³
Total magnetic moment: 0.00 μB per cell
Space-group type: No. 65
DFT formation energy: 0.15 eV/atom

Unit cell a=5.2220 b=6.5513 c=2.8436 alpha=64.39 beta=89.94 gamma=120.64
Fractional positions:
1 K 0.5000 0.0000 0.5000
2 Pt 0.0000 0.0000 0.0000
3 Pt 0.0000 0.5000 0.5000
4 Zn 0.5000 0.5000 0.0000

=====

Entry from Alexandria via LeMat-Bulk: an optimized crystal structure of K3Zn2Pt4 (PBE).

D(E_F): 2.072 states/eV/f.u.
Density: 7.50 g cm⁻³
Total magnetic moment: 0.00 μB per cell
Space-group type: No. 12
DFT formation energy: -0.30 eV/atom

Unit cell a=4.3635 b=6.4364 c=9.5723 alpha=64.74 beta=76.83 gamma=70.19
Fractional positions:
1 K 0.6346 0.1006 0.6302
2 K 0.0000 0.0000 0.0000
3 K 0.3654 0.8994 0.3698
4 Zn 0.6603 0.4516 0.2278
5 Zn 0.3397 0.5484 0.7722
6 Pt 0.2327 0.4533 0.0812
7 Pt 0.9204 0.5290 0.6302
8 Pt 0.0796 0.4710 0.3698
9 Pt 0.7673 0.5467 0.9188